(1)
The following is a DFT calculation (PBE-GGA) of crystalline Sr3NbRe at its relaxed geometry.

Formation energy from the elements, eV/atom: 1.4970
Distance to the lowest polymorph of the same formula, eV/atom: 0.000
V, Å³/cell: 189.8

Geometry as CIF:
```
data_Sr3NbRe
_chemical_formula_sum 'Sr3 Nb1 Re1'
_symmetry_space_group_name_H-M 'P m -3 m'
_symmetry_Int_Tables_number 221
_symmetry_space_group_name_Hall '-P 4 2 3'
_cell_length_a 5.747
_cell_length_b 5.747
_cell_length_c 5.747
_cell_angle_alpha 90.00
_cell_angle_beta 90.00
_cell_angle_gamma 90.00
loop_
_atom_site_label
_atom_site_fract_x
_atom_site_fract_y
_atom_site_fract_z
_atom_site_occupancy
Sr1 0.000 0.000 0.500 1
Nb1 0.500 0.500 0.500 1
Re1 0.000 0.000 0.000 1
```


(2)
The following is a DFT calculation (PBE-GGA) of crystalline SrTa2NbRe at its relaxed geometry.

Formation energy from the elements, eV/atom: 3.1542
V, Å³/cell: 105.7

Geometry as CIF:
```
data_SrTa2NbRe
_chemical_formula_sum 'Sr1 Ta2 Nb1 Re1'
_symmetry_space_group_name_H-M 'P 4/m m m'
_symmetry_Int_Tables_number 123
_symmetry_space_group_name_Hall '-P 4 2'
_cell_length_a 4.762
_cell_length_b 4.762
_cell_length_c 4.662
_cell_angle_alpha 90.00
_cell_angle_beta 90.00
_cell_angle_gamma 90.00
loop_
_atom_site_label
_atom_site_fract_x
_atom_site_fract_y
_atom_site_fract_z
_atom_site_occupancy
Sr1 0.000 0.000 0.000 1
Ta1 0.000 0.500 0.000 1
Nb1 0.000 0.000 0.500 1
Re1 0.500 0.500 0.500 1
```


(3)
The following is a DFT calculation (PBE-GGA) of crystalline SrTaNb2Re at its relaxed geometry.

Formation energy from the elements, eV/atom: 0.9359
V, Å³/cell: 124.6

Geometry as CIF:
```
data_SrTaNb2Re
_chemical_formula_sum 'Sr1 Ta1 Nb2 Re1'
_symmetry_space_group_name_H-M 'P 4/m m m'
_symmetry_Int_Tables_number 123
_symmetry_space_group_name_Hall '-P 4 2'
_cell_length_a 5.006
_cell_length_b 5.006
_cell_length_c 4.972
_cell_angle_alpha 90.00
_cell_angle_beta 90.00
_cell_angle_gamma 90.00
loop_
_atom_site_label
_atom_site_fract_x
_atom_site_fract_y
_atom_site_fract_z
_atom_site_occupancy
Sr1 0.000 0.000 0.000 1
Ta1 0.500 0.500 0.000 1
Nb1 0.000 0.500 0.500 1
Re1 0.500 0.500 0.500 1
```


(4)
The following is a DFT calculation (PBE-GGA) of crystalline SrNb2ZnRe at its relaxed geometry.

Formation energy from the elements, eV/atom: 1.8142
V, Å³/cell: 117.4

Geometry as CIF:
```
data_SrNb2ZnRe
_chemical_formula_sum 'Sr1 Nb2 Zn1 Re1'
_symmetry_space_group_name_H-M 'P 4/m m m'
_symmetry_Int_Tables_number 123
_symmetry_space_group_name_Hall '-P 4 2'
_cell_length_a 4.776
_cell_length_b 4.776
_cell_length_c 5.148
_cell_angle_alpha 90.00
_cell_angle_beta 90.00
_cell_angle_gamma 90.00
loop_
_atom_site_label
_atom_site_fract_x
_atom_site_fract_y
_atom_site_fract_z
_atom_site_occupancy
Sr1 0.000 0.000 0.000 1
Nb1 0.000 0.500 0.500 1
Zn1 0.000 0.000 0.500 1
Re1 0.500 0.500 0.000 1
```


(5)
The following is a DFT calculation (PBE-GGA) of crystalline TaNbRe2 at its relaxed geometry.

Formation energy from the elements, eV/atom: -0.3428
V, Å³/cell: 263.0

Geometry as CIF:
```
data_TaNbRe2
_chemical_formula_sum 'Ta4 Nb4 Re8'
_symmetry_space_group_name_H-M 'F m -3 m'
_symmetry_Int_Tables_number 225
_symmetry_space_group_name_Hall '-F 4 2 3'
_cell_length_a 6.407
_cell_length_b 6.407
_cell_length_c 6.407
_cell_angle_alpha 90.00
_cell_angle_beta 90.00
_cell_angle_gamma 90.00
loop_
_atom_site_label
_atom_site_fract_x
_atom_site_fract_y
_atom_site_fract_z
_atom_site_occupancy
Ta1 0.000 0.000 0.000 1
Nb1 0.000 0.000 0.500 1
Re1 0.250 0.250 0.250 1
```


(6)
The following is a DFT calculation (PBE-GGA) of crystalline TaNb2Re at its relaxed geometry.

Formation energy from the elements, eV/atom: -0.2410
Distance to the lowest polymorph of the same formula, eV/atom: 0.000
V, Å³/cell: 137.8

Geometry as CIF:
```
data_TaNb2Re
_chemical_formula_sum 'Ta2 Nb4 Re2'
_symmetry_space_group_name_H-M 'I m m m'
_symmetry_Int_Tables_number 71
_symmetry_space_group_name_Hall '-I 2 2'
_cell_length_a 3.247
_cell_length_b 4.534
_cell_length_c 9.365
_cell_angle_alpha 90.00
_cell_angle_beta 90.00
_cell_angle_gamma 90.00
loop_
_atom_site_label
_atom_site_fract_x
_atom_site_fract_y
_atom_site_fract_z
_atom_site_occupancy
Ta1 0.000 0.000 0.000 1
Nb1 0.000 0.500 0.243 1
Re1 0.000 0.000 0.500 1
```


(7)
The following is a DFT calculation (PBE-GGA) of crystalline Ta4Nb5Re at its relaxed geometry.

Formation energy from the elements, eV/atom: -0.0814
V, Å³/cell: 178.3

Geometry as CIF:
```
data_Ta4Nb5Re
_chemical_formula_sum 'Ta4 Nb5 Re1'
_symmetry_space_group_name_H-M 'P 4/m m m'
_symmetry_Int_Tables_number 123
_symmetry_space_group_name_Hall '-P 4 2'
_cell_length_a 3.273
_cell_length_b 3.273
_cell_length_c 16.642
_cell_angle_alpha 90.00
_cell_angle_beta 90.00
_cell_angle_gamma 90.00
loop_
_atom_site_label
_atom_site_fract_x
_atom_site_fract_y
_atom_site_fract_z
_atom_site_occupancy
Ta1 0.000 0.000 0.101 1
Ta2 0.000 0.000 0.303 1
Nb1 0.500 0.500 0.000 1
Nb2 0.500 0.500 0.203 1
Nb3 0.500 0.500 0.406 1
Re1 0.000 0.000 0.500 1
```


(8)
The following is a DFT calculation (PBE-GGA) of crystalline Ta3Nb4Re at its relaxed geometry.

Formation energy from the elements, eV/atom: -0.1020
Distance to the lowest polymorph of the same formula, eV/atom: 0.000
V, Å³/cell: 141.9

Geometry as CIF:
```
data_Ta3Nb4Re
_chemical_formula_sum 'Ta3 Nb4 Re1'
_symmetry_space_group_name_H-M 'P 4/m m m'
_symmetry_Int_Tables_number 123
_symmetry_space_group_name_Hall '-P 4 2'
_cell_length_a 3.267
_cell_length_b 3.267
_cell_length_c 13.290
_cell_angle_alpha 90.00
_cell_angle_beta 90.00
_cell_angle_gamma 90.00
loop_
_atom_site_label
_atom_site_fract_x
_atom_site_fract_y
_atom_site_fract_z
_atom_site_occupancy
Ta1 0.000 0.000 0.000 1
Ta2 0.000 0.000 0.252 1
Nb1 0.500 0.500 0.128 1
Nb2 0.500 0.500 0.382 1
Re1 0.000 0.000 0.500 1
```


(9)
The following is a DFT calculation (PBE-GGA) of crystalline Ta3NbRe at its relaxed geometry.

Formation energy from the elements, eV/atom: 1.3690
Distance to the lowest polymorph of the same formula, eV/atom: 1.550
V, Å³/cell: 111.7

Geometry as CIF:
```
data_Ta3NbRe
_chemical_formula_sum 'Ta3 Nb1 Re1'
_symmetry_space_group_name_H-M 'P m -3 m'
_symmetry_Int_Tables_number 221
_symmetry_space_group_name_Hall '-P 4 2 3'
_cell_length_a 4.816
_cell_length_b 4.816
_cell_length_c 4.816
_cell_angle_alpha 90.00
_cell_angle_beta 90.00
_cell_angle_gamma 90.00
loop_
_atom_site_label
_atom_site_fract_x
_atom_site_fract_y
_atom_site_fract_z
_atom_site_occupancy
Ta1 0.000 0.000 0.500 1
Nb1 0.500 0.500 0.500 1
Re1 0.000 0.000 0.000 1
```


(10)
The following is a DFT calculation (PBE-GGA) of crystalline TaNb4Re at its relaxed geometry.

Formation energy from the elements, eV/atom: 0.1386
Distance to the lowest polymorph of the same formula, eV/atom: 0.120
V, Å³/cell: 218.1

Geometry as CIF:
```
data_TaNb4Re
_chemical_formula_sum 'Ta2 Nb8 Re2'
_symmetry_space_group_name_H-M 'P m m a'
_symmetry_Int_Tables_number 51
_cell_length_a 6.361
_cell_length_b 4.592
_cell_length_c 7.466
_cell_angle_alpha 90.00
_cell_angle_beta 90.00
_cell_angle_gamma 90.00
loop_
_symmetry_equiv_pos_as_xyz
'x,y,z'
'-x,-y,-z'
'-x+1/2,-y,z'
'x+1/2,y,-z'
'x+1/2,-y,-z'
'-x+1/2,y,z'
'-x,y,-z'
'x,-y,z'
loop_
_atom_site_label
_atom_site_fract_x
_atom_site_fract_y
_atom_site_fract_z
_atom_site_occupancy
Ta1 0.250 0.000 0.138 1
Nb1 0.000 0.000 0.500 1
Nb2 0.013 0.500 0.820 1
Nb3 0.250 0.500 0.486 1
Re1 0.250 0.000 0.783 1
```


(11)
The following is a DFT calculation (PBE-GGA) of crystalline TaNbRe at its relaxed geometry.

Formation energy from the elements, eV/atom: 0.1289
Distance to the lowest polymorph of the same formula, eV/atom: 0.424
V, Å³/cell: 209.3

Geometry as CIF:
```
data_TaNbRe
_chemical_formula_sum 'Ta4 Nb4 Re4'
_symmetry_space_group_name_H-M 'C 1 2/m 1'
_symmetry_Int_Tables_number 12
_cell_length_a 9.696
_cell_length_b 5.285
_cell_length_c 4.640
_cell_angle_alpha 90.00
_cell_angle_beta 118.34
_cell_angle_gamma 90.00
loop_
_symmetry_equiv_pos_as_xyz
'x,y,z'
'-x,-y,-z'
'-x,y,-z'
'x,-y,z'
'x+1/2,y+1/2,z'
'-x+1/2,-y+1/2,-z'
'-x+1/2,y+1/2,-z'
'x+1/2,-y+1/2,z'
loop_
_atom_site_label
_atom_site_fract_x
_atom_site_fract_y
_atom_site_fract_z
_atom_site_occupancy
Ta1 0.000 0.250 0.000 1
Nb1 0.173 0.000 0.674 1
Re1 0.159 0.500 0.658 1
```


(12)
The following is a DFT calculation (PBE-GGA) of crystalline TaNb6Re2 at its relaxed geometry.

Formation energy from the elements, eV/atom: -0.2018
Distance to the lowest polymorph of the same formula, eV/atom: 0.000
V, Å³/cell: 312.0

Geometry as CIF:
```
data_TaNb6Re2
_chemical_formula_sum 'Ta2 Nb12 Re4'
_symmetry_space_group_name_H-M 'C 1 2/m 1'
_symmetry_Int_Tables_number 12
_cell_length_a 10.429
_cell_length_b 3.230
_cell_length_c 9.828
_cell_angle_alpha 90.00
_cell_angle_beta 109.51
_cell_angle_gamma 90.00
loop_
_symmetry_equiv_pos_as_xyz
'x,y,z'
'-x,-y,-z'
'-x,y,-z'
'x,-y,z'
'x+1/2,y+1/2,z'
'-x+1/2,-y+1/2,-z'
'-x+1/2,y+1/2,-z'
'x+1/2,-y+1/2,z'
loop_
_atom_site_label
_atom_site_fract_x
_atom_site_fract_y
_atom_site_fract_z
_atom_site_occupancy
Ta1 0.000 0.000 0.000 1
Nb1 0.002 0.000 0.329 1
Nb2 0.170 0.500 0.560 1
Nb3 0.173 0.500 0.887 1
Re1 0.163 0.500 0.220 1
```